Below is AlIn3Cu after structural relaxation, with properties calculated at the PBE level.

Calculated values
For the formation energy, the calculation gives 316 meV per atom. The value obtained for the distance to the lowest polymorph of the same formula is 0.000 eV per formula unit. As for the space group: No. 221.

Cell: 5.078 5.078 5.078 Å, 90.00 90.00 90.00°
Positions (direct):
Al  0.500  0.500  0.500
Cu  0.000  0.000  0.000
In  0.000  0.500  0.000
In  0.000  0.000  0.500
In  0.500  0.000  0.000

=====

Below is AlInCu2 after structural relaxation, with properties calculated at the PBE level.

Calculated values
For the formation energy, the calculation gives 38 meV per atom. As for the space group: No. 8.

Cell: 4.696 4.696 4.551 Å, 78.58 78.58 40.95°
Positions (direct):
Al  0.262  0.262  0.191
Cu  0.000  0.000  0.014
Cu  0.743  0.743  0.771
In  0.496  0.496  0.523

=====

Below is Al2InCu after structural relaxation, with properties calculated at the PBE level.

Calculated values
For the formation energy, the calculation gives 127 meV per atom. As for the space group: No. 119.

Cell: 5.046 5.046 5.046 Å, 131.89 131.89 70.40°
Positions (direct):
Al  0.000  0.000  0.000
Al  0.250  0.750  0.500
Cu  0.500  0.500  0.000
In  0.750  0.250  0.500

=====

Below is AlIn2Cu after structural relaxation, with properties calculated at the PBE level.

Calculated values
For the formation energy, the calculation gives 95 meV per atom. As for the space group: No. 160.

Cell: 9.184 9.184 9.184 Å, 20.24 20.24 20.24°
Positions (direct):
Al  0.487  0.487  0.487
Cu  0.757  0.757  0.757
In  0.012  0.012  0.012
In  0.244  0.244  0.244

=====

Below is AlIn2Cu after structural relaxation, with properties calculated at the PBE level.

Calculated values
For the formation energy, the calculation gives 78 meV per atom. As for the space group: No. 6.

Cell: 4.150 3.898 5.404 Å, 69.70 90.00 90.00°
Positions (direct):
Al  0.000  0.690  0.490
Cu  0.500  0.556  0.766
In  0.000  0.979  0.925
In  0.500  0.275  0.319

=====

Below is Al2InCu after structural relaxation, with properties calculated at the PBE level.

Calculated values
For the formation energy, the calculation gives 74 meV per atom. As for the space group: No. 6.

Cell: 3.906 2.883 6.754 Å, 70.66 90.00 90.00°
Positions (direct):
Al  0.000  0.935  0.037
Al  0.500  0.244  0.281
Cu  0.000  0.629  0.438
In  0.500  0.692  0.744

=====

Below is AlInCu2 after structural relaxation, with properties calculated at the PBE level.

Calculated values
For the formation energy, the calculation gives 135 meV per atom. As for the space group: No. 160.

Cell: 8.625 8.625 8.625 Å, 19.97 19.97 19.97°
Positions (direct):
Al  0.738  0.738  0.738
Cu  0.998  0.998  0.998
Cu  0.258  0.258  0.258
In  0.505  0.505  0.505

=====

Below is AlInCu2 after structural relaxation, with properties calculated at the PBE level.

Calculated values
For the formation energy, the calculation gives 60 meV per atom. As for the space group: No. 123.

Cell: 3.760 4.081 4.081 Å, 90.00 90.00 90.00°
Positions (direct):
Al  0.500  0.000  0.500
Cu  0.000  0.000  0.000
Cu  0.000  0.500  0.500
In  0.500  0.500  0.000

=====

Below is Al2InCu after structural relaxation, with properties calculated at the PBE level.

Calculated values
For the formation energy, the calculation gives 213 meV per atom. As for the space group: No. 47.

Cell: 3.287 4.482 4.913 Å, 90.00 90.00 90.00°
Positions (direct):
Al  0.000  0.000  0.000
Al  0.500  0.500  0.000
Cu  0.500  0.000  0.500
In  0.000  0.500  0.500

=====

Below is AlIn2Cu after structural relaxation, with properties calculated at the PBE level.

Calculated values
For the formation energy, the calculation gives 172 meV per atom. As for the space group: No. 12.

Cell: 4.664 4.664 5.786 Å, 77.56 77.56 41.80°
Positions (direct):
Al  0.750  0.750  0.750
Cu  0.250  0.250  0.250
In  0.992  0.992  0.018
In  0.508  0.508  0.482

=====

Below is AlIn2Cu after structural relaxation, with properties calculated at the PBE level.

Calculated values
For the formation energy, the calculation gives 113 meV per atom. As for the space group: No. 44.

Cell: 6.604 6.604 6.604 Å, 153.47 139.47 49.10°
Positions (direct):
Al  0.561  0.561  0.000
Cu  0.736  0.236  0.500
In  0.951  0.951  0.000
In  0.252  0.752  0.500

=====

Below is AlIn2Cu after structural relaxation, with properties calculated at the PBE level.

Calculated values
For the formation energy, the calculation gives 196 meV per atom. As for the space group: No. 12.

Cell: 7.148 5.226 3.017 Å, 90.55 64.15 123.92°
Positions (direct):
Al  0.000  0.500  0.500
Cu  0.500  0.500  0.000
In  0.000  0.000  0.000
In  0.500  0.000  0.500